(1)
! Nd12ErSn3 | the Alexandria database | PBE-GGA | relaxed; values from VASP
! Final energy: -4.9339 eV/atom
! Space group: P4/mmm, No. 123
! DFT formation energy: -0.3223 eV per atom
! Calculated volume: 31.347 Å³ per atom
&SYSTEM
  ibrav = 0, nat = 16, ntyp = 3
/
ATOMIC_SPECIES
Nd 144.24 Nd.upf
Sn 118.71 Sn.upf
Er 167.26 Er.upf
CELL_PARAMETERS angstrom
-2.614 2.445 3.461
-4.235 -1.639 -2.041
0.558 -16.321 11.950
ATOMIC_POSITIONS angstrom
Nd -0.823 -12.937 12.098
Nd -1.771 -10.965 6.408
Nd -2.044 -2.981 0.562
Nd -1.634 -14.979 9.347
Nd -3.281 -3.781 3.773
Nd -1.906 -6.995 3.501
Nd -3.424 0.403 0.710
Nd -1.233 -0.939 3.313
Nd -3.146 -7.758 6.685
Nd -1.096 -4.954 6.252
Nd -0.960 -8.923 9.158
Nd -3.010 -11.734 9.596
Sn 0.142 -4.168 3.052
Sn 0.279 -8.161 5.975
Sn 0.415 -12.153 8.898
Er 0.000 0.000 0.000

---

(2)
! RbV2TcIr | the Alexandria database | PBE-GGA | relaxed; values from VASP
! Final energy: -5.7145 eV/atom
! Space group: P4/mmm, No. 123
! DFT formation energy: 1.9718 eV per atom
! Calculated volume: 21.551 Å³ per atom
&SYSTEM
  ibrav = 0, nat = 5, ntyp = 4
/
ATOMIC_SPECIES
V 50.94 V.upf
Rb 85.47 Rb.upf
Ir 192.22 Ir.upf
Tc 98.00 Tc.upf
CELL_PARAMETERS angstrom
4.530 0.000 0.000
0.000 5.252 0.000
0.000 0.000 4.530
ATOMIC_POSITIONS angstrom
V 0.000 0.000 2.265
V 2.265 0.000 0.000
Rb 0.000 2.626 0.000
Ir 2.265 2.626 2.265
Tc 0.000 0.000 0.000

---

(3)
! FePIr2 | the Alexandria database | PBE-GGA | relaxed; values from VASP
! Final energy: -7.8573 eV/atom
! Space group: Pmm2, No. 25
! DFT formation energy: 0.0414 eV per atom
! Calculated volume: 13.868 Å³ per atom
&SYSTEM
  ibrav = 0, nat = 4, ntyp = 3
/
ATOMIC_SPECIES
Fe 55.84 Fe.upf
Ir 192.22 Ir.upf
P 30.97 P.upf
CELL_PARAMETERS angstrom
2.841 0.000 0.000
0.000 3.869 0.000
0.000 0.000 5.046
ATOMIC_POSITIONS angstrom
Fe 1.421 1.935 3.989
Ir 0.000 0.000 4.817
Ir 1.421 1.935 1.515
P 0.000 0.000 2.295

---

Copy entry 2 word for word.
! RbV2TcIr | the Alexandria database | PBE-GGA | relaxed; values from VASP
! Final energy: -5.7145 eV/atom
! Space group: P4/mmm, No. 123
! DFT formation energy: 1.9718 eV per atom
! Calculated volume: 21.551 Å³ per atom
&SYSTEM
  ibrav = 0, nat = 5, ntyp = 4
/
ATOMIC_SPECIES
V 50.94 V.upf
Rb 85.47 Rb.upf
Ir 192.22 Ir.upf
Tc 98.00 Tc.upf
CELL_PARAMETERS angstrom
4.530 0.000 0.000
0.000 5.252 0.000
0.000 0.000 4.530
ATOMIC_POSITIONS angstrom
V 0.000 0.000 2.265
V 2.265 0.000 0.000
Rb 0.000 2.626 0.000
Ir 2.265 2.626 2.265
Tc 0.000 0.000 0.000

---

Q: Which value of calculated volume does entry 1 give?
A: 31.347 Å³ per atom